(1)
LaPt2Se | GGA-PBE | optimized geometry

Lattice parameters (Å, degrees): 3.834 4.522 4.746 90.00 90.00 90.00
Element x y z (fractional)
La 0.000 0.500 0.500
Pt 0.000 0.000 0.000
Pt 0.500 0.500 0.000
Se 0.500 0.000 0.500

Results
uncorrected formation energy	-0.75	eV/atom
mass density	12.3	g/cm³
V	82	Å³ per cell
DOS at the Fermi energy	2.1	states/eV/cell
E	-23.49	eV per cell

(2)
LaPtSe2 | GGA-PBE | optimized geometry

Lattice parameters (Å, degrees): 5.954 5.954 4.738 92.07 92.07 39.30
Element x y z (fractional)
La 0.499 0.499 0.533
Pt 0.206 0.206 0.337
Se 0.019 0.019 0.041
Se 0.776 0.776 0.589

Results
uncorrected formation energy	-1.15	eV/atom
mass density	7.7	g/cm³
offset from the most stable computed form	0.043	eV/atom
V	106	Å³ per cell
DOS at the Fermi energy	0.9	states/eV/cell
E	-22.54	eV per cell

(3)
La2PtSe | GGA-PBE | optimized geometry

Lattice parameters (Å, degrees): 6.222 4.267 4.266 90.00 90.00 90.00
Element x y z (fractional)
Se 0.500 0.875 0.875
Pt 0.000 0.375 0.375
La 0.000 0.875 0.875
La 0.500 0.375 0.375

Results
uncorrected formation energy	-1.52	eV/atom
mass density	8.1	g/cm³
V	113	Å³ per cell
DOS at the Fermi energy	3.5	states/eV/cell
E	-25.46	eV per cell

(4)
LaPt2Se | GGA-PBE | optimized geometry

Lattice parameters (Å, degrees): 5.689 5.689 5.689 46.04 46.04 46.04
Element x y z (fractional)
La 0.750 0.750 0.750
Pt 0.967 0.967 0.967
Pt 0.533 0.533 0.533
Se 0.250 0.250 0.250

Results
uncorrected formation energy	-0.72	eV/atom
mass density	11.6	g/cm³
V	87	Å³ per cell
DOS at the Fermi energy	1.9	states/eV/cell
E	-23.38	eV per cell

(5)
LaPtSe2 | GGA-PBE | optimized geometry

Lattice parameters (Å, degrees): 7.808 7.808 7.808 35.17 35.17 35.17
Each line ends with the local moment (μB).
Element x y z (fractional)
Se 0.893 0.893 0.893  0.09
Se 0.107 0.107 0.107  0.09
Pt 0.000 0.000 0.000  0.55
La 0.500 0.500 0.500  0.05

Results
uncorrected formation energy	-0.80	eV/atom
mass density	5.8	g/cm³
offset from the most stable computed form	0.391	eV/atom
V	141	Å³ per cell
DOS at the Fermi energy	6.0	states/eV/cell
E	-21.14	eV per cell

(6)
La5PtSe4 | GGA-PBE | optimized geometry

Lattice parameters (Å, degrees): 4.311 4.311 15.552 97.97 97.97 90.00
Element x y z (fractional)
La 0.098 0.098 0.197
La 0.500 0.500 0.000
La 0.902 0.902 0.803
La 0.298 0.298 0.597
La 0.702 0.702 0.403
Pt 0.000 0.000 0.000
Se 0.399 0.399 0.797
Se 0.802 0.802 0.604
Se 0.198 0.198 0.396
Se 0.601 0.601 0.203

Results
uncorrected formation energy	-1.82	eV/atom
mass density	7.1	g/cm³
V	283	Å³ per cell
DOS at the Fermi energy	7.1	states/eV/cell
E	-62.77	eV per cell

(7)
LaPtSe2 | GGA-PBE | optimized geometry

Lattice parameters (Å, degrees): 4.575 4.192 5.765 64.86 90.00 90.00
Element x y z (fractional)
La 0.000 0.655 0.451
Pt 0.500 0.723 0.849
Se 0.000 0.910 0.871
Se 0.500 0.213 0.328

Results
uncorrected formation energy	-1.19	eV/atom
mass density	8.2	g/cm³
offset from the most stable computed form	0.000	eV/atom
V	100	Å³ per cell
DOS at the Fermi energy	0.8	states/eV/cell
E	-22.71	eV per cell

(8)
La2PtSe | GGA-PBE | optimized geometry

Lattice parameters (Å, degrees): 5.143 5.143 5.143 60.00 60.00 60.00
Element x y z (fractional)
La 0.000 0.000 0.000
La 0.250 0.250 0.250
Pt 0.500 0.500 0.500
Se 0.750 0.750 0.750

Results
uncorrected formation energy	-0.59	eV/atom
mass density	9.5	g/cm³
V	96	Å³ per cell
DOS at the Fermi energy	5.9	states/eV/cell
E	-21.73	eV per cell